Density functional theory data (PBE-GGA) for crystalline Nd7Sm2Y3 at its relaxed geometry.

extended XYZ file:
```
12
Lattice="5.9417 0.0000 0.0000 0.0000 3.6562 0.0000 -1.2012 0.0000 19.1134" Properties=species:S:1:pos:R:3 pbc="T T T"
Nd 0.0000 0.0000 0.0000
Nd 0.8485 1.8281 3.4599
Nd 0.8900 1.8281 10.2360
Nd 0.8879 0.0000 16.3456
Nd 3.8526 0.0000 2.7678
Nd 3.8505 1.8281 8.8775
Nd 3.8921 1.8281 15.6535
Sm 0.9041 1.8281 13.4303
Sm 3.8365 1.8281 5.6832
Y 0.8476 0.0000 7.0289
Y 2.9709 1.8281 0.0000
Y 3.8930 0.0000 12.0846
```

Output
As for the density of states at the Fermi level: 1.475 states/eV per atom. Its formation energy is 8 kJ per mole of atoms. The calculation puts the polymorph energy (0 for the lowest one) at 0 meV per atom. The calculation puts the total magnetization at 0.00 μB per cell. The total energy comes out at -5.102 eV per atom. The calculated volume comes out at 34.6 A^3/atom. Its crystal system is monoclinic.